Computed, not measured: a relaxed structure of CoSn2P2 at the PBE level of DFT.

Calculated values
Total energy = -5.241 eV per atom
Size of the total moment = 0.000 μB per atom
E_form = -0.05 eV per atom

```
10
Lattice="5.8223 0.0000 0.0000 0.0000 5.8223 0.0000 0.0000 0.0000 5.6207" Properties=species:S:1:pos:R:3 pbc="T T T"
Co 0.0000 0.0000 0.0000
Co 2.9112 2.9112 0.0000
Sn 1.7833 4.6945 2.8103
Sn 1.1279 1.7833 2.8103
Sn 4.0390 1.1279 2.8103
Sn 4.6945 4.0390 2.8103
P 2.1124 5.0235 0.0000
P 0.7988 2.1124 0.0000
P 5.0235 3.7100 0.0000
P 3.7100 0.7988 0.0000
```